Entry 1:
DFT (PBEsol) results for an optimized crystal structure of LiNiP2O7.

Calculated values
The calculation puts the formation energy (no corrections) at -1.867 eV per atom. The value obtained for the relative energy among the computed polymorphs is 0.3 meV per atom. Its space-group type is P-1, No. 2.

a = 6.060 Å, b = 6.107 Å, c = 6.829 Å
α = 85.06°, β = 67.78°, γ = 82.26°
Atoms (fractional coordinates):
Li1 0.212 0.013 0.340
Li2 0.788 0.987 0.660
Ni1 0.409 0.363 0.721
Ni2 0.591 0.637 0.279
P1 0.152 0.599 0.151
P2 0.281 0.868 0.741
P3 0.719 0.132 0.259
P4 0.848 0.401 0.849
O1 0.102 0.949 0.644
O2 0.109 0.412 0.699
O3 0.142 0.793 0.980
O4 0.275 0.682 0.286
O5 0.279 0.389 0.035
O6 0.439 0.043 0.746
O7 0.458 0.664 0.632
O8 0.542 0.336 0.368
O9 0.561 0.957 0.254
O10 0.721 0.611 0.965
O11 0.725 0.318 0.714
O12 0.858 0.207 0.020
O13 0.891 0.588 0.301
O14 0.898 0.051 0.356



Entry 2:
DFT (PBEsol) results for an optimized crystal structure of SmV2BiO8.

Calculated values
The calculation puts the formation energy (no corrections) at -2.507 eV per atom. Its space-group type is I-4m2, No. 119.

a = 6.050 Å, b = 6.050 Å, c = 6.050 Å
α = 106.06°, β = 106.06°, γ = 116.52°
Atoms (fractional coordinates):
Sm1 0.000 0.000 0.000
V1 0.500 0.500 0.000
V2 0.750 0.250 0.500
Bi1 0.250 0.750 0.500
O1 0.327 0.147 0.820
O2 0.327 0.507 0.180
O3 0.397 0.079 0.318
O4 0.493 0.673 0.820
O5 0.762 0.079 0.682
O6 0.853 0.673 0.180
O7 0.921 0.238 0.318
O8 0.921 0.603 0.682



Entry 3:
DFT (PBEsol) results for an optimized crystal structure of Li2TeAs.

Calculated values
The calculation puts the formation energy (no corrections) at -0.508 eV per atom. The value obtained for the relative energy among the computed polymorphs is 6.8 meV per atom. Its space-group type is Pmmm, No. 47.

a = 3.080 Å, b = 4.031 Å, c = 6.149 Å
α = 90.00°, β = 90.00°, γ = 90.00°
Atoms (fractional coordinates):
Li1 0.000 0.000 0.221
Li2 0.000 0.000 0.779
Te1 0.500 0.500 0.500
As1 0.500 0.500 0.000



Number 1: uncorrected energy -153.97 eV/cell. Number 2: uncorrected energy -100.72 eV/cell. Number 3: uncorrected energy -14.60 eV/cell.